P) Below is an optimized crystal structure of BaHfGa2, with properties calculated at the PBE-GGA level.

Values from the calculation:
Fermi-level density of states, states/eV/f.u.: 2.483

a b c (Å): 7.3588 7.3588 7.3588
angles (deg): 90.00 90.00 90.00
Space group Fm-3m (No. 225)
Inequivalent atoms, fractional coordinates:
Ba: 0.0000 0.0000 0.0000 x4
Hf: 0.0000 0.0000 0.5000 x4
Ga: 0.2500 0.2500 0.2500 x8

Q) Below is an optimized crystal structure of BaHfGa2, with properties calculated at the PBE-GGA level.

Values from the calculation:
Fermi-level density of states, states/eV/f.u.: 3.698

a b c (Å): 5.3137 5.3137 18.5227
angles (deg): 90.00 90.00 90.00
Space group I-42d (No. 122)
Inequivalent atoms, fractional coordinates:
Ba: 0.0000 0.0000 0.0000 x4
Hf: 0.0000 0.0000 0.5000 x4
Ga: 0.0939 0.2500 0.6250 x8

R) Below is an optimized crystal structure of BaHfGa2, with properties calculated at the PBE-GGA level.

Values from the calculation:
Fermi-level density of states, states/eV/f.u.: 2.588

a b c (Å): 3.6574 3.6574 7.4551
angles (deg): 90.00 90.00 90.00
Space group P4/mmm (No. 123)
Inequivalent atoms, fractional coordinates:
Ba: 0.0000 0.0000 0.0000 x1
Hf: 0.0000 0.0000 0.5000 x1
Ga: 0.5000 0.5000 0.3212 x2

Most stable pick: R). Distance to second place: 0.332 eV/atom.

P) Below is an optimized crystal structure of BaGaHg4, with properties calculated at the PBE-GGA level.

Values from the calculation:
Fermi-level density of states, states/eV/f.u.: 2.033

a b c (Å): 8.8283 8.8283 8.8283
angles (deg): 90.00 90.00 90.00
Space group F-43m (No. 216)
Inequivalent atoms, fractional coordinates:
Ba: 0.0000 0.0000 0.0000 x4
Ga: 0.2500 0.2500 0.2500 x4
Hg: 0.1243 0.1243 0.6243 x16

Q) Below is an optimized crystal structure of BaGaHg4, with properties calculated at the PBE-GGA level.

Values from the calculation:
Fermi-level density of states, states/eV/f.u.: 2.992

a b c (Å): 5.5304 15.9580 7.9412
angles (deg): 90.00 90.00 90.00
Space group Cmcm (No. 63)
Inequivalent atoms, fractional coordinates:
Ba: 0.0000 0.1117 0.2500 x4
Ga: 0.0000 0.3721 0.2500 x4
Hg: 0.0000 0.1045 0.7500 x4
Hg: 0.0000 0.2829 0.5566 x8
Hg: 0.0000 0.5000 0.0000 x4

Most stable pick: Q). Distance to second place: 0.045 eV/atom.

P) Below is an optimized crystal structure of Ba2Ga2Hg, with properties calculated at the PBE-GGA level.

Values from the calculation:
Fermi-level density of states, states/eV/f.u.: 5.281

a b c (Å): 8.3477 8.3477 4.8224
angles (deg): 90.00 90.00 90.00
Space group P4/mbm (No. 127)
Inequivalent atoms, fractional coordinates:
Ba: 0.1921 0.3079 0.0000 x4
Ga: 0.1060 0.6060 0.5000 x4
Hg: 0.0000 0.0000 0.5000 x2

Q) Below is an optimized crystal structure of Ba2Ga2Hg, with properties calculated at the PBE-GGA level.

Values from the calculation:
Fermi-level density of states, states/eV/f.u.: 5.430

a b c (Å): 9.6093 9.6093 4.0297
angles (deg): 90.00 90.00 90.00
Space group P4/mbm (No. 127)
Inequivalent atoms, fractional coordinates:
Ba: 0.1939 0.3061 0.0000 x4
Ga: 0.0938 0.5938 0.5000 x4
Hg: 0.0000 0.0000 0.0000 x2

Most stable pick: P). Distance to second place: 0.089 eV/atom.